# 1
HfMg2ZnH | PBE | optimized geometry

abc: 4.2918 4.2918 4.2513
angles: 90.00 90.00 90.00
Space group P4/mmm (No. 123)
Inequivalent atoms, fractional coordinates:
Hf  0.0000  0.0000  0.0000
Mg  0.0000  0.5000  0.5000
Zn  0.5000  0.5000  0.0000
H  0.0000  0.0000  0.5000

Properties
The value obtained for the density of states at the Fermi level is 0.405 states/eV per atom. As for the calculated total energy: -3.596 eV/atom. As for the crystal system: tetragonal.



# 2
NaPm4Pd5 | PBE | optimized geometry

abc: 3.5851 3.5851 17.7517
angles: 90.00 90.00 90.00
Space group P4/mmm (No. 123)
Inequivalent atoms, fractional coordinates:
Na  0.0000  0.0000  0.0000
Pm  0.0000  0.0000  0.1921
Pm  0.0000  0.0000  0.3975
Pd  0.5000  0.5000  0.1042
Pd  0.5000  0.5000  0.2966
Pd  0.5000  0.5000  0.5000

Properties
The value obtained for the formation energy is -6.61 eV per formula unit. The value obtained for the density of states at the Fermi level is 0.547 states/eV per atom. As for the calculated total energy: -5.289 eV/atom. As for the crystal system: tetragonal.



# 3
PuGa4CuAu2 | PBE | optimized geometry

abc: 4.4248 4.4248 25.9199
angles: 90.00 90.00 120.00
Space group R-3m (No. 166, hexagonal axes)
Inequivalent atoms, fractional coordinates:
Pu  0.0000  0.0000  0.0000
Ga  0.0000  0.0000  0.1305
Ga  0.0000  0.0000  0.3947
Cu  0.0000  0.0000  0.5000
Au  0.0000  0.0000  0.2435

Properties
The value obtained for the formation energy is -1.70 eV per formula unit. The value obtained for the density of states at the Fermi level is 1.744 states/eV per atom. As for the calculated total energy: -4.849 eV/atom. As for the crystal system: trigonal.



# 4
Dy3Er2Mg7 | PBE | optimized geometry

abc: 5.1280 25.7735 5.1336
angles: 90.00 90.00 90.00
Space group Cmmm (No. 65)
Inequivalent atoms, fractional coordinates:
Dy  0.0000  0.0000  0.0000
Dy  0.0000  0.1582  0.0000
Er  0.0000  0.3557  0.5000
Mg  0.0000  0.0721  0.5000
Mg  0.0000  0.2295  0.5000
Mg  0.0000  0.4276  0.0000
Mg  0.0000  0.5000  0.5000

Properties
The value obtained for the formation energy is 1.45 eV per formula unit. The value obtained for the density of states at the Fermi level is 1.043 states/eV per atom. As for the calculated total energy: -2.720 eV/atom. As for the crystal system: orthorhombic.



# 5
Rb2ZnRu2 | PBE | optimized geometry

abc: 10.4609 10.4609 2.8817
angles: 90.00 90.00 90.00
Space group P4/mbm (No. 127)
Inequivalent atoms, fractional coordinates:
Rb  0.2012  0.2988  0.0000
Zn  0.0000  0.0000  0.0000
Ru  0.0740  0.5740  0.5000

Properties
As for the energy above the most stable polymorph in this dataset: 453 meV per atom. The value obtained for the formation energy is 5.97 eV per formula unit. The value obtained for the density of states at the Fermi level is 0.596 states/eV per atom. As for the calculated total energy: -3.159 eV/atom. As for the crystal system: tetragonal.



# 6
PmPuAl2 | PBE | optimized geometry

abc: 3.4675 3.4675 29.3054
angles: 90.00 90.00 120.00
Space group R-3m (No. 166, hexagonal axes)
Inequivalent atoms, fractional coordinates:
Pm  0.0000  0.0000  0.0000
Pu  0.0000  0.0000  0.5000
Al  0.0000  0.0000  0.2489

Properties
As for the energy above the most stable polymorph in this dataset: 257 meV per atom. The value obtained for the formation energy is 0.16 eV per formula unit. The value obtained for the density of states at the Fermi level is 2.130 states/eV per atom. As for the calculated total energy: -6.603 eV/atom. As for the crystal system: trigonal.



# 7
TaWCl2 | PBE | optimized geometry

abc: 3.0311 3.0311 30.2305
angles: 90.00 90.00 120.00
Space group R3m (No. 160, hexagonal axes)
Inequivalent atoms, fractional coordinates:
Ta  0.0000  0.0000  0.0000
W  0.0000  0.0000  0.7487
Cl  0.0000  0.0000  0.2737
Cl  0.0000  0.0000  0.4732

Properties
As for the energy above the most stable polymorph in this dataset: 129 meV per atom. The value obtained for the density of states at the Fermi level is 0.495 states/eV per atom. As for the calculated total energy: -7.412 eV/atom. The value obtained for the uncorrected formation energy is -0.288 eV/atom. As for the crystal system: trigonal.



# 8
HfP2ClF | PBE | optimized geometry

abc: 4.1125 4.1125 4.8714
angles: 90.00 90.00 90.00
Space group P4/mmm (No. 123)
Inequivalent atoms, fractional coordinates:
Hf  0.0000  0.0000  0.0000
P  0.0000  0.5000  0.5000
Cl  0.5000  0.5000  0.0000
F  0.5000  0.5000  0.5000

Properties
As for the energy above the most stable polymorph in this dataset: 145 meV per atom. The value obtained for the density of states at the Fermi level is 0.369 states/eV per atom. As for the calculated total energy: -4.919 eV/atom. The value obtained for the uncorrected formation energy is -0.020 eV/atom. As for the crystal system: tetragonal.



# 9
Sr2SmPb | PBE | optimized geometry

abc: 3.8261 3.8261 39.4918
angles: 90.00 90.00 120.00
Space group R-3m (No. 166, hexagonal axes)
Inequivalent atoms, fractional coordinates:
Sr  0.0000  0.0000  0.0863
Sm  0.0000  0.0000  0.5000
Pb  0.0000  0.0000  0.0000

Properties
The value obtained for the formation energy is 0.56 eV per formula unit. The value obtained for the density of states at the Fermi level is 1.088 states/eV per atom. As for the calculated total energy: -2.807 eV/atom. As for the crystal system: trigonal.



# 10
Na3Pu4Se8 | PBE | optimized geometry

abc: 11.6708 11.8956 8.3097
angles: 90.00 134.60 90.00
Space group C2/m (No. 12)
Inequivalent atoms, fractional coordinates:
Na  0.0000  0.0000  0.0000
Na  0.2500  0.2500  0.0000
Pu  0.0000  0.5000  0.0000
Pu  0.0000  0.5000  0.5000
Pu  0.2500  0.2500  0.5000
Se  0.0000  0.2579  0.0000
Se  0.0000  0.2607  0.5000
Se  0.2255  0.5000  0.9715
Se  0.2424  0.5000  0.4888

Properties
The value obtained for the density of states at the Fermi level is 2.889 states/eV per atom. As for the calculated total energy: -7.279 eV/atom. The value obtained for the uncorrected formation energy is -1.335 eV/atom. As for the crystal system: monoclinic.



# 11
Mg4In15Hg | PBE | optimized geometry

abc: 4.6293 4.6293 23.6633
angles: 90.00 90.00 90.00
Space group P4/mmm (No. 123)
Inequivalent atoms, fractional coordinates:
Mg  0.0000  0.0000  0.0969
Mg  0.0000  0.0000  0.2956
In  0.0000  0.5000  0.0000
In  0.0000  0.5000  0.1959
In  0.0000  0.5000  0.3951
In  0.5000  0.5000  0.0973
In  0.5000  0.5000  0.2945
In  0.5000  0.5000  0.5000
Hg  0.0000  0.0000  0.5000

Properties
The value obtained for the formation energy is -0.56 eV per formula unit. The value obtained for the density of states at the Fermi level is 0.468 states/eV per atom. As for the calculated total energy: -2.416 eV/atom. As for the crystal system: tetragonal.



# 12
HfTlGa3 | PBE | optimized geometry

abc: 5.1511 5.1511 5.1511
angles: 90.00 90.00 90.00
Space group Pm-3m (No. 221)
Inequivalent atoms, fractional coordinates:
Hf  0.0000  0.0000  0.0000
Tl  0.5000  0.5000  0.5000
Ga  0.0000  0.5000  0.5000

Properties
As for the energy above the most stable polymorph in this dataset: 618 meV per atom. The value obtained for the formation energy is 5.22 eV per formula unit. The value obtained for the density of states at the Fermi level is 1.155 states/eV per atom. As for the calculated total energy: -3.236 eV/atom. As for the crystal system: cubic.